Entry 1:
VASP calculation (GGA-PBE) on a geometry-optimized U2ReRu structure.

Calculated values
SG: P4/mmm, No. 123
Formation energy, eV/atom: 0.05
Spin magnetization, μB/cell: 3.14
DOS at the Fermi energy, states/eV per cell: 6.68
Distance to the lowest polymorph of the same formula, meV/atom: 0.0

Unit cell a=3.4333 b=3.4333 c=6.5208 alpha=90.00 beta=90.00 gamma=90.00
Fractional coordinates of all 4 atoms:
1 U 0.0000 0.0000 0.2433
2 U 0.0000 0.0000 0.7567
3 Re 0.5000 0.5000 0.5000
4 Ru 0.5000 0.5000 0.0000

Entry 2:
VASP calculation (GGA-PBE) on a geometry-optimized ThTi2Ga4 structure.

Calculated values
SG: Immm, No. 71
Formation energy, eV/atom: -0.36
Spin magnetization, μB/cell: 0.00
DOS at the Fermi energy, states/eV per cell: 6.06

Unit cell a=10.5800 b=10.5800 c=10.5800 alpha=162.74 beta=157.73 gamma=28.31
Fractional coordinates of all 7 atoms:
1 Th 0.0000 0.0000 0.0000
2 Ti 0.2919 0.7919 0.5000
3 Ti 0.7081 0.2081 0.5000
4 Ga 0.1613 0.6613 0.5000
5 Ga 0.4121 0.4121 0.0000
6 Ga 0.5879 0.5879 0.0000
7 Ga 0.8387 0.3387 0.5000

Entry 3:
VASP calculation (GGA-PBE) on a geometry-optimized SrMg2NiOs structure.

Calculated values
SG: P4/mmm, No. 123
Formation energy, eV/atom: 0.94
Spin magnetization, μB/cell: 0.32
DOS at the Fermi energy, states/eV per cell: 7.91

Unit cell a=5.0192 b=5.0192 c=5.4642 alpha=90.00 beta=90.00 gamma=90.00
Fractional coordinates of all 5 atoms:
1 Sr 0.0000 0.0000 0.0000
2 Mg 0.0000 0.5000 0.5000
3 Mg 0.5000 0.0000 0.5000
4 Ni 0.5000 0.5000 0.0000
5 Os 0.0000 0.0000 0.5000

Entry 4:
VASP calculation (GGA-PBE) on a geometry-optimized Cs3NaTe2O6 structure.

Calculated values
SG: P-3m1, No. 164
Spin magnetization, μB/cell: 0.00
ΔE_f (raw), meV/atom: -1467
DOS at the Fermi energy, states/eV per cell: 0.00

Unit cell a=6.5631 b=6.5631 c=7.9513 alpha=90.00 beta=90.00 gamma=120.00
Fractional coordinates of all 12 atoms:
1 Cs 0.0000 0.0000 0.0000
2 Cs 0.3333 0.6667 0.6498
3 Cs 0.6667 0.3333 0.3502
4 Na 0.0000 0.0000 0.5000
5 Te 0.3333 0.6667 0.1931
6 Te 0.6667 0.3333 0.8069
7 O 0.1840 0.3681 0.2963
8 O 0.1840 0.8160 0.2963
9 O 0.3681 0.1840 0.7037
10 O 0.6319 0.8160 0.2963
11 O 0.8160 0.1840 0.7037
12 O 0.8160 0.6319 0.7037

Entry 5:
VASP calculation (GGA-PBE) on a geometry-optimized Ta2MoPd2 structure.

Calculated values
SG: P4/mbm, No. 127
Formation energy, eV/atom: 0.04
Spin magnetization, μB/cell: 0.00
DOS at the Fermi energy, states/eV per cell: 7.38

Unit cell a=7.8166 b=7.8166 c=2.7799 alpha=90.00 beta=90.00 gamma=90.00
Fractional coordinates of all 10 atoms:
1 Ta 0.1763 0.3237 0.0000
2 Ta 0.3237 0.8237 0.0000
3 Ta 0.6763 0.1763 0.0000
4 Ta 0.8237 0.6763 0.0000
5 Mo 0.0000 0.0000 0.5000
6 Mo 0.5000 0.5000 0.5000
7 Pd 0.1218 0.6218 0.5000
8 Pd 0.3782 0.1218 0.5000
9 Pd 0.6218 0.8782 0.5000
10 Pd 0.8782 0.3782 0.5000

Entry 6:
VASP calculation (GGA-PBE) on a geometry-optimized ZnHg2HRh structure.

Calculated values
SG: P4/mmm, No. 123
Spin magnetization, μB/cell: 0.00
DFT total energy, eV/atom: -2.256
DOS at the Fermi energy, states/eV per cell: 2.12

Unit cell a=5.3352 b=5.3352 c=3.3258 alpha=90.00 beta=90.00 gamma=90.00
Fractional coordinates of all 5 atoms:
1 Zn 0.0000 0.0000 0.0000
2 Hg 0.0000 0.5000 0.5000
3 Hg 0.5000 0.0000 0.5000
4 H 0.5000 0.5000 0.0000
5 Rh 0.5000 0.5000 0.5000

Entry 7:
VASP calculation (GGA-PBE) on a geometry-optimized Cs2HfAsN structure.

Calculated values
SG: P4/mmm, No. 123
Spin magnetization, μB/cell: 2.00
ΔE_f (raw), meV/atom: 1011
DOS at the Fermi energy, states/eV per cell: 6.67

Unit cell a=7.2838 b=7.2838 c=5.0763 alpha=90.00 beta=90.00 gamma=90.00
Fractional coordinates of all 5 atoms:
1 Cs 0.0000 0.5000 0.0000
2 Cs 0.5000 0.0000 0.0000
3 Hf 0.0000 0.0000 0.5000
4 As 0.0000 0.0000 0.0000
5 N 0.5000 0.5000 0.5000

Entry 8:
VASP calculation (GGA-PBE) on a geometry-optimized Li2Tb2Sn7 structure.

Calculated values
SG: C2/m, No. 12
Formation energy, eV/atom: -0.22
Spin magnetization, μB/cell: 0.00
DOS at the Fermi energy, states/eV per cell: 4.46

Unit cell a=6.3898 b=6.3898 c=7.8856 alpha=93.65 beta=93.65 gamma=68.61
Fractional coordinates of all 11 atoms:
1 Li 0.1761 0.8239 0.0000
2 Li 0.8239 0.1761 0.0000
3 Tb 0.3109 0.3109 0.4963
4 Tb 0.6891 0.6891 0.5037
5 Sn 0.0000 0.0000 0.5000
6 Sn 0.0020 0.4380 0.8144
7 Sn 0.4380 0.0020 0.8144
8 Sn 0.4934 0.4934 0.1920
9 Sn 0.5066 0.5066 0.8080
10 Sn 0.5620 0.9980 0.1856
11 Sn 0.9980 0.5620 0.1856